[1]
{"formula": "PuTc", "functional": "PBE", "state": "optimized geometry", "crystal_system": "cubic", "total_magnetization_mub_per_cell": 3.52, "spacegroup": "No. 216", "formation_enthalpy_0k_ev_per_atom": 0.915, "lattice": [[0.000, 2.902, 2.902], [2.902, 0.000, 2.902], [2.902, 2.902, 0.000]], "species": ["Pu", "Tc"], "fractional_positions": [[0.000, 0.000, 0.000], [0.750, 0.750, 0.750]]}

[2]
{"formula": "PuTc2", "functional": "PBE", "state": "optimized geometry", "crystal_system": "cubic", "total_magnetization_mub_per_cell": 0.89, "spacegroup": "No. 227", "formation_enthalpy_0k_ev_per_atom": 2.639, "lattice": [[0.000, 5.258, 5.258], [5.258, 0.000, 5.258], [5.258, 5.258, 0.000]], "species": ["Pu", "Pu", "Tc", "Tc", "Tc", "Tc"], "fractional_positions": [[0.125, 0.125, 0.125], [0.875, 0.875, 0.875], [0.000, 0.000, 0.000], [0.000, 0.000, 0.500], [0.000, 0.500, 0.000], [0.500, 0.000, 0.000]]}

[3]
{"formula": "Pu2Tc", "functional": "PBE", "state": "optimized geometry", "crystal_system": "cubic", "total_magnetization_mub_per_cell": 22.05, "spacegroup": "No. 227", "formation_enthalpy_0k_ev_per_atom": 1.177, "lattice": [[0.000, 5.787, 5.787], [5.787, 0.000, 5.787], [5.787, 5.787, 0.000]], "species": ["Pu", "Pu", "Pu", "Pu", "Tc", "Tc"], "fractional_positions": [[0.000, 0.000, 0.000], [0.000, 0.000, 0.500], [0.000, 0.500, 0.000], [0.500, 0.000, 0.000], [0.125, 0.125, 0.125], [0.875, 0.875, 0.875]]}